(1)
The following is a PBE calculation of BeInS2N after structural relaxation, from Alexandria.

Calculated values
Its energy above the most stable polymorph in this dataset is 0.0 meV/atom. As for the crystal system: tetragonal.

Structure (extended XYZ):
```
5
Lattice="4.8077 0.0000 0.0000 0.0000 4.8077 0.0000 0.0000 0.0000 3.2654" Properties=species:S:1:pos:R:3 pbc="T T T"
S 2.4039 0.0000 0.0000
Be 0.0000 0.0000 0.0000
In 2.4039 2.4039 1.6327
N 0.0000 0.0000 1.6327
S 0.0000 2.4039 0.0000
```

(2)
The following is a PBE calculation of SrCdCo2S after structural relaxation, from Alexandria.

Calculated values
As for the crystal system: tetragonal.

Structure (extended XYZ):
```
5
Lattice="-2.1282 -0.6926 3.7512 -2.2754 -4.5626 -2.1334 3.3641 -2.3658 1.4718" Properties=species:S:1:pos:R:3 pbc="T T T"
Co -1.0641 -0.3463 1.8756
Sr -1.1377 -2.2813 -1.0667
Co 1.6820 -1.1829 0.7359
S 0.0000 0.0000 0.0000
Cd -0.5198 -3.8105 1.5448
```

(3)
The following is a PBE calculation of LaAuS2 after structural relaxation, from Alexandria.

Calculated values
Its energy above the most stable polymorph in this dataset is 0.0 meV/atom. As for the crystal system: monoclinic.

Structure (extended XYZ):
```
8
Lattice="4.4689 0.0000 -0.0036 0.0000 7.3484 -0.0003 -4.4575 0.0002 6.3027" Properties=species:S:1:pos:R:3 pbc="T T T"
S -2.5733 3.5034 5.1527
La 4.1194 2.1078 0.1242
S -0.3457 4.3878 2.0004
S 1.8853 0.7137 1.4029
Au 4.1181 5.7827 0.1236
Au 1.8903 2.1085 3.2762
La 1.8892 5.7822 3.2751
S -0.3447 7.1774 4.5530
```

no.,E_form (uncorrected) (eV per atom),density (g/cm³),total moment (μB/f.u.)
1,0.3933,4.44,0.0
2,0.0816,5.51,2.4
3,-1.3979,6.42,0.0